{"formula": "PrErPd4", "functional": "PBE", "state": "optimized geometry", "dos_ef_per_ev_fu": 1.48, "magmom_total_mub_per_cell": 0.00, "de_polymorph_mev_per_atom": 69, "density_g_cm3": 10.4, "lattice_angstrom": [[5.488, 0.000, 0.000], [2.744, 4.753, 0.000], [2.744, 1.584, 4.481]], "species": ["Pr", "Pd", "Pd", "Pd", "Pd", "Er"], "fractional_positions": [[0.250, 0.250, 0.250], [0.626, 0.626, 0.123], [0.626, 0.123, 0.626], [0.626, 0.626, 0.626], [0.123, 0.626, 0.626], [0.000, 0.000, 0.000]]}

=====

{"formula": "CoSn3Te", "functional": "PBE", "state": "optimized geometry", "dos_ef_per_ev_fu": 2.69, "magmom_total_mub_per_cell": 0.00, "de_polymorph_mev_per_atom": 18, "density_g_cm3": 7.2, "raw_formation_energy_ev_per_fu": -0.39, "lattice_angstrom": [[5.003, 0.000, 0.000], [0.000, 5.003, 0.000], [0.000, 0.000, 5.003]], "species": ["Te", "Co", "Sn", "Sn", "Sn"], "fractional_positions": [[0.500, 0.500, 0.500], [0.000, 0.000, 0.000], [0.000, 0.500, 0.000], [0.000, 0.000, 0.500], [0.500, 0.000, 0.000]]}

=====

{"formula": "Cs2CrCuS4", "functional": "PBE", "state": "optimized geometry", "dos_ef_per_ev_fu": 4.39, "magmom_total_mub_per_cell": 2.00, "density_g_cm3": 3.5, "raw_formation_energy_ev_per_fu": -6.95, "lattice_angstrom": [[5.492, 0.000, 0.000], [2.746, 7.084, 0.000], [2.746, 0.000, 12.358]], "species": ["Cs", "Cs", "Cs", "Cs", "Cr", "Cr", "Cu", "Cu", "S", "S", "S", "S", "S", "S", "S", "S"], "fractional_positions": [[0.176, 0.000, 0.647], [0.824, 0.000, 0.353], [0.574, 0.500, 0.853], [0.926, 0.500, 0.147], [0.250, 0.500, 0.500], [0.500, 0.000, 0.000], [0.750, 0.500, 0.500], [0.000, 0.000, 0.000], [0.309, 0.824, 0.099], [0.232, 0.176, 0.901], [0.867, 0.824, 0.901], [0.592, 0.176, 0.099], [0.441, 0.676, 0.401], [0.518, 0.324, 0.599], [0.883, 0.676, 0.599], [0.158, 0.324, 0.401]]}

=====

{"formula": "ThGa6Pt12", "functional": "PBE", "state": "optimized geometry", "dos_ef_per_ev_fu": 6.38, "magmom_total_mub_per_cell": 0.00, "dft_energy_ev_per_cell": -109.143, "density_g_cm3": 15.0, "lattice_angstrom": [[7.316, -0.145, -0.204], [-1.954, 7.052, -0.204], [-1.954, -2.516, 6.591]], "species": ["Th", "Ga", "Ga", "Ga", "Ga", "Ga", "Ga", "Pt", "Pt", "Pt", "Pt", "Pt", "Pt", "Pt", "Pt", "Pt", "Pt", "Pt", "Pt"], "fractional_positions": [[0.000, 0.000, 0.000], [0.690, 0.272, 0.272], [0.272, 0.272, 0.690], [0.272, 0.690, 0.272], [0.728, 0.728, 0.310], [0.310, 0.728, 0.728], [0.728, 0.310, 0.728], [0.873, 0.127, 0.500], [0.866, 0.626, 0.626], [0.626, 0.626, 0.866], [0.374, 0.134, 0.374], [0.374, 0.374, 0.134], [0.134, 0.374, 0.374], [0.127, 0.500, 0.873], [0.500, 0.873, 0.127], [0.127, 0.873, 0.500], [0.873, 0.500, 0.127], [0.500, 0.127, 0.873], [0.626, 0.866, 0.626]]}

=====

{"formula": "Ni2RuSe", "functional": "PBE", "state": "optimized geometry", "dos_ef_per_ev_fu": 3.44, "magmom_total_mub_per_cell": 0.00, "density_g_cm3": 9.4, "raw_formation_energy_ev_per_fu": 0.98, "lattice_angstrom": [[-1.008, 2.926, -0.323], [-2.820, -0.863, 0.994], [1.475, 1.073, 5.114]], "species": ["Ni", "Ni", "Ru", "Se"], "fractional_positions": [[0.000, 0.000, 0.995], [0.000, 0.000, 0.505], [0.500, 0.500, 0.250], [0.500, 0.500, 0.750]]}

=====

{"formula": "Pm2ReSb", "functional": "PBE", "state": "optimized geometry", "dos_ef_per_ev_fu": 2.37, "magmom_total_mub_per_cell": 0.00, "de_polymorph_mev_per_atom": 0, "density_g_cm3": 10.1, "raw_formation_energy_ev_per_fu": -0.35, "lattice_angstrom": [[-0.464, -2.475, -3.090], [3.114, -3.245, 2.131], [-3.839, -2.166, 2.312]], "species": ["Re", "Sb", "Pm", "Pm"], "fractional_positions": [[0.500, 0.000, 0.000], [0.500, 0.500, 0.500], [0.000, 0.000, 0.500], [0.000, 0.500, 0.000]]}